Record 1
## Pm10DyY6 (PBE-GGA)

Data for a geometry-optimized Pm10DyY6 structure.

Summary:
Space-group type ... P-31m
DOS at the Fermi energy ... 25.3 states/eV/f.u.
Energy relative to the elements ... 0.131 eV per atom

abc: 9.8374 9.8374 6.9122
angles: 90.00 90.00 120.00
Positions (direct):
1 Pm 0.0000 0.2742 0.1833
2 Pm 0.0000 0.7258 0.8167
3 Pm 0.2742 0.0000 0.1833
4 Pm 0.2742 0.2742 0.8167
5 Pm 0.3333 0.6667 0.0000
6 Pm 0.3333 0.6667 0.5000
7 Pm 0.6667 0.3333 0.0000
8 Pm 0.6667 0.3333 0.5000
9 Pm 0.7258 0.0000 0.8167
10 Pm 0.7258 0.7258 0.1833
11 Dy 0.0000 0.0000 0.5000
12 Y 0.0000 0.3706 0.6915
13 Y 0.0000 0.6294 0.3085
14 Y 0.3706 0.0000 0.6915
15 Y 0.3706 0.3706 0.3085
16 Y 0.6294 0.0000 0.3085
17 Y 0.6294 0.6294 0.6915


Record 2
## Pm4Dy4Y (PBE-GGA)

Data for a geometry-optimized Pm4Dy4Y structure.

Summary:
Relative energy among the computed polymorphs ... 0.0 meV per atom
Space-group type ... I4/mmm
DOS at the Fermi energy ... 13.6 states/eV/f.u.
Energy relative to the elements ... 0.019 eV per atom

abc: 8.0442 8.0442 8.0442
angles: 95.72 95.72 143.20
Positions (direct):
1 Pm 0.0000 0.3318 0.3318
2 Pm 0.0000 0.6682 0.6682
3 Pm 0.3318 0.0000 0.3318
4 Pm 0.6682 0.0000 0.6682
5 Dy 0.3335 0.3335 0.6670
6 Dy 0.3335 0.6665 0.0000
7 Dy 0.6665 0.3335 0.0000
8 Dy 0.6665 0.6665 0.3330
9 Y 0.0000 0.0000 0.0000


Record 3
## PmDy3Y3 (PBE-GGA)

Data for a geometry-optimized PmDy3Y3 structure.

Summary:
Relative energy among the computed polymorphs ... 0.0 meV per atom
Space-group type ... R-3
DOS at the Fermi energy ... 10.9 states/eV/f.u.
Energy relative to the elements ... 0.141 eV per atom

abc: 14.7158 14.7158 14.7158
angles: 24.30 24.30 24.30
Positions (direct):
1 Pm 0.1667 0.1667 0.1667
2 Pm 0.8333 0.8333 0.8333
3 Dy 0.0350 0.6984 0.3666
4 Dy 0.3016 0.6334 0.9650
5 Dy 0.3666 0.0350 0.6984
6 Dy 0.6334 0.9650 0.3016
7 Dy 0.6984 0.3666 0.0350
8 Dy 0.9650 0.3016 0.6334
9 Y 0.0989 0.4327 0.7662
10 Y 0.2338 0.9011 0.5673
11 Y 0.4327 0.7662 0.0989
12 Y 0.5673 0.2338 0.9011
13 Y 0.7662 0.0989 0.4327
14 Y 0.9011 0.5673 0.2338


Record 4
## Pm2DyY12 (PBE-GGA)

Data for a geometry-optimized Pm2DyY12 structure.

Summary:
Space-group type ... Cmme
DOS at the Fermi energy ... 26.3 states/eV/f.u.
Energy relative to the elements ... 0.169 eV per atom

abc: 6.7103 6.7103 24.8637
angles: 90.00 90.00 116.28
Positions (direct):
1 Pm 0.2500 0.7500 0.2349
2 Pm 0.2500 0.7500 0.7695
3 Pm 0.7500 0.2500 0.2305
4 Pm 0.7500 0.2500 0.7651
5 Dy 0.2500 0.7500 0.5001
6 Dy 0.7500 0.2500 0.4999
7 Y 0.0004 0.9996 0.4235
8 Y 0.9996 0.0004 0.5765
9 Y 0.9996 0.4996 0.3737
10 Y 0.0004 0.5004 0.6263
11 Y 0.0109 0.5109 0.0851
12 Y 0.0140 0.9860 0.9392
13 Y 0.2500 0.2500 0.1729
14 Y 0.2500 0.2500 0.3015
15 Y 0.2500 0.2500 0.6985
16 Y 0.2500 0.2500 0.8271
17 Y 0.4860 0.5140 0.9392
18 Y 0.4891 0.9891 0.0851
19 Y 0.5004 0.0004 0.3737
20 Y 0.4996 0.9996 0.6263
21 Y 0.4996 0.5004 0.4235
22 Y 0.5004 0.4996 0.5765
23 Y 0.5109 0.0109 0.9149
24 Y 0.5140 0.4860 0.0608
25 Y 0.7500 0.7500 0.1729
26 Y 0.7500 0.7500 0.3015
27 Y 0.7500 0.7500 0.6985
28 Y 0.7500 0.7500 0.8271
29 Y 0.9860 0.0140 0.0608
30 Y 0.9891 0.4891 0.9149


Record 5
## Pm4Dy9Y11 (PBE-GGA)

Data for a geometry-optimized Pm4Dy9Y11 structure.

Summary:
Space-group type ... Cmmm
DOS at the Fermi energy ... 35.5 states/eV/f.u.
Energy relative to the elements ... 0.054 eV per atom

abc: 14.8018 14.8018 3.5483
angles: 90.00 90.00 91.89
Positions (direct):
1 Pm 0.0490 0.2201 0.0000
2 Pm 0.2201 0.0490 0.0000
3 Pm 0.7799 0.9510 0.0000
4 Pm 0.9510 0.7799 0.0000
5 Dy 0.0000 0.0000 0.0000
6 Dy 0.1236 0.6291 0.0000
7 Dy 0.2939 0.4634 0.0000
8 Dy 0.3709 0.8764 0.0000
9 Dy 0.4634 0.2939 0.0000
10 Dy 0.5366 0.7061 0.0000
11 Dy 0.6291 0.1236 0.0000
12 Dy 0.7061 0.5366 0.0000
13 Dy 0.8764 0.3709 0.0000
14 Y 0.0852 0.4217 0.5000
15 Y 0.1583 0.8417 0.5000
16 Y 0.2582 0.2582 0.5000
17 Y 0.3306 0.6694 0.5000
18 Y 0.4217 0.0852 0.5000
19 Y 0.5000 0.5000 0.5000
20 Y 0.5783 0.9148 0.5000
21 Y 0.6694 0.3306 0.5000
22 Y 0.7418 0.7418 0.5000
23 Y 0.8417 0.1583 0.5000
24 Y 0.9148 0.5783 0.5000


Record 6
## Pm2Dy7Y2 (PBE-GGA)

Data for a geometry-optimized Pm2Dy7Y2 structure.

Summary:
Relative energy among the computed polymorphs ... 35.7 meV per atom
Space-group type ... C2/m
DOS at the Fermi energy ... 17.8 states/eV/f.u.
Energy relative to the elements ... 0.154 eV per atom

abc: 8.0570 8.0570 6.0625
angles: 106.31 106.31 90.47
Positions (direct):
1 Pm 0.2334 0.2334 0.0900
2 Pm 0.7666 0.7666 0.9100
3 Dy 0.0000 0.0000 0.5000
4 Dy 0.0598 0.5907 0.3262
5 Dy 0.4093 0.9402 0.6738
6 Dy 0.4127 0.4127 0.6972
7 Dy 0.5873 0.5873 0.3028
8 Dy 0.5907 0.0598 0.3262
9 Dy 0.9402 0.4093 0.6738
10 Y 0.2167 0.7833 0.0000
11 Y 0.7833 0.2167 0.0000


Record 7
## Pm3Dy3Y8 (PBE-GGA)

Data for a geometry-optimized Pm3Dy3Y8 structure.

Summary:
Relative energy among the computed polymorphs ... 12.9 meV per atom
Space-group type ... Immm
DOS at the Fermi energy ... 23.7 states/eV/f.u.
Energy relative to the elements ... 0.127 eV per atom

abc: 9.7222 9.7222 9.7222
angles: 146.06 112.82 77.44
Positions (direct):
1 Pm 0.0000 0.0000 0.0000
2 Pm 0.3038 0.0000 0.3038
3 Pm 0.6962 0.0000 0.6962
4 Dy 0.3154 0.8154 0.5000
5 Dy 0.5000 0.5000 0.0000
6 Dy 0.6846 0.1846 0.5000
7 Y 0.0565 0.3965 0.6600
8 Y 0.0627 0.2218 0.8409
9 Y 0.2635 0.6035 0.6600
10 Y 0.3809 0.2218 0.1591
11 Y 0.6191 0.7782 0.8409
12 Y 0.7365 0.3965 0.3400
13 Y 0.9373 0.7782 0.1591
14 Y 0.9435 0.6035 0.3400


Record 8
## Pm2Dy3Y3 (PBE-GGA)

Data for a geometry-optimized Pm2Dy3Y3 structure.

Summary:
Relative energy among the computed polymorphs ... 0.0 meV per atom
Space-group type ... C2/m
DOS at the Fermi energy ... 11.4 states/eV/f.u.
Energy relative to the elements ... 0.002 eV per atom

abc: 12.1224 12.1224 6.2291
angles: 104.88 104.88 17.07
Positions (direct):
1 Pm 0.2495 0.2495 0.2483
2 Pm 0.7505 0.7505 0.7517
3 Dy 0.3758 0.3758 0.0435
4 Dy 0.5000 0.5000 0.5000
5 Dy 0.6242 0.6242 0.9565
6 Y 0.0000 0.0000 0.0000
7 Y 0.1241 0.1241 0.4579
8 Y 0.8759 0.8759 0.5421


> Which value of energy relative to the elements does entry 8 give?

0.002 eV per atom


Please write out number 7 again, unchanged.
## Pm3Dy3Y8 (PBE-GGA)

Data for a geometry-optimized Pm3Dy3Y8 structure.

Summary:
Relative energy among the computed polymorphs ... 12.9 meV per atom
Space-group type ... Immm
DOS at the Fermi energy ... 23.7 states/eV/f.u.
Energy relative to the elements ... 0.127 eV per atom

abc: 9.7222 9.7222 9.7222
angles: 146.06 112.82 77.44
Positions (direct):
1 Pm 0.0000 0.0000 0.0000
2 Pm 0.3038 0.0000 0.3038
3 Pm 0.6962 0.0000 0.6962
4 Dy 0.3154 0.8154 0.5000
5 Dy 0.5000 0.5000 0.0000
6 Dy 0.6846 0.1846 0.5000
7 Y 0.0565 0.3965 0.6600
8 Y 0.0627 0.2218 0.8409
9 Y 0.2635 0.6035 0.6600
10 Y 0.3809 0.2218 0.1591
11 Y 0.6191 0.7782 0.8409
12 Y 0.7365 0.3965 0.3400
13 Y 0.9373 0.7782 0.1591
14 Y 0.9435 0.6035 0.3400


Repeat the seventh record exactly.
## Pm3Dy3Y8 (PBE-GGA)

Data for a geometry-optimized Pm3Dy3Y8 structure.

Summary:
Relative energy among the computed polymorphs ... 12.9 meV per atom
Space-group type ... Immm
DOS at the Fermi energy ... 23.7 states/eV/f.u.
Energy relative to the elements ... 0.127 eV per atom

abc: 9.7222 9.7222 9.7222
angles: 146.06 112.82 77.44
Positions (direct):
1 Pm 0.0000 0.0000 0.0000
2 Pm 0.3038 0.0000 0.3038
3 Pm 0.6962 0.0000 0.6962
4 Dy 0.3154 0.8154 0.5000
5 Dy 0.5000 0.5000 0.0000
6 Dy 0.6846 0.1846 0.5000
7 Y 0.0565 0.3965 0.6600
8 Y 0.0627 0.2218 0.8409
9 Y 0.2635 0.6035 0.6600
10 Y 0.3809 0.2218 0.1591
11 Y 0.6191 0.7782 0.8409
12 Y 0.7365 0.3965 0.3400
13 Y 0.9373 0.7782 0.1591
14 Y 0.9435 0.6035 0.3400